A relaxed structure of Sr2GaAg2. Source: Alexandria via LeMat-Bulk, functional GGA-PBE.

Results
Its formation energy is -162 meV per atom. Its energy above the most stable polymorph in this dataset is 165 meV/atom.

Cell: 6.2002 6.2002 7.8887 Å, 90.00 90.00 90.00°
Closest atoms and distances in Å follow each position.
Space group I4/mmm (No. 139)
Asymmetric unit:
Sr: 0.0000 0.5000 0.2500 [4 per cell]  4 Ag 3.17
Ga: 0.0000 0.0000 0.0000 [2 per cell]  2 Ag 2.62
Ag: 0.0000 0.0000 0.3317 [4 per cell]  1 Ga 2.62, 1 Ag 2.65


A relaxed structure of Sr3Ga4Ag2. Source: Alexandria via LeMat-Bulk, functional GGA-PBE.

Results
Its formation energy is -408 meV per atom.

Cell: 11.5983 4.6235 9.1301 Å, 90.00 108.33 90.00°
Closest atoms and distances in Å follow each position.
Space group C2/m (No. 12)
Asymmetric unit:
Sr: 0.0000 0.0000 0.0000 [2 per cell]  8 Ga 3.32-3.48, 4 Ag 3.33
Sr: 0.1764 0.5000 0.6598 [4 per cell]  8 Ga 3.30-3.57, 4 Ag 3.36-3.48
Ga: 0.0337 0.0000 0.3753 [4 per cell]  1 Ga 2.63, 2 Ag 2.71
Ga: 0.2352 0.5000 0.0674 [4 per cell]  2 Ga 2.69, 1 Ag 2.77
Ag: 0.1025 0.5000 0.2718 [4 per cell]  3 Ga 2.71-2.77


A relaxed structure of Sr2Ga2Ag3. Source: Alexandria via LeMat-Bulk, functional GGA-PBE.

Results
Its formation energy is -316 meV per atom. Its energy above the most stable polymorph in this dataset is 0 meV/atom.

Cell: 4.5789 20.2765 7.4807 Å, 90.00 90.00 90.00°
Closest atoms and distances in Å follow each position.
Space group Cmcm (No. 63)
Asymmetric unit:
Sr: 0.0000 0.0562 0.2500 [4 per cell]  9 Ag 3.28-3.63
Sr: 0.0000 0.1598 0.7500 [4 per cell]  6 Ag 3.31, 6 Ga 3.33-3.34
Ga: 0.0000 0.3092 0.5644 [8 per cell]  4 Ag 2.73-2.94, 1 Ga 2.78
Ag: 0.0000 0.2221 0.2500 [4 per cell]  6 Ga 2.75-2.94
Ag: 0.0000 0.4357 0.0625 [8 per cell]  1 Ga 2.73, 2 Ag 2.77-2.81


A relaxed structure of SrGa7Ag12. Source: Alexandria via LeMat-Bulk, functional GGA-PBE.

Results
Its formation energy is -22 meV per atom.

Cell: 13.6999 13.6999 7.1347 Å, 90.00 90.00 120.00°
Closest atoms and distances in Å follow each position.
Space group R-3m (No. 166, hexagonal axes)
Asymmetric unit:
Sr: 0.0000 0.0000 0.0000 [3 per cell]  12 Ag 3.41-3.58, 8 Ga 3.51-3.57
Ga: 0.0000 0.0000 0.5000 [3 per cell]  6 Ag 2.90, 6 Ga 3.15
Ga: 0.0979 0.5489 0.3692 [18 per cell]  7 Ag 2.69-2.79, 1 Ga 2.98
Ag: 0.0000 0.2615 0.0000 [18 per cell]  4 Ga 2.71-2.79, 4 Ag 2.92-2.93
Ag: 0.1085 0.2169 0.3142 [18 per cell]  4 Ga 2.69-2.90, 3 Ag 2.78-2.92


A relaxed structure of SrGa6Ag2. Source: Alexandria via LeMat-Bulk, functional GGA-PBE.

Results
Its formation energy is -151 meV per atom. Its energy above the most stable polymorph in this dataset is 0 meV/atom.

Cell: 4.3227 7.4060 11.9912 Å, 90.00 90.00 90.00°
Closest atoms and distances in Å follow each position.
Space group Immm (No. 71)
Asymmetric unit:
Sr: 0.0000 0.0000 0.0000 [2 per cell]  12 Ga 3.26-3.49
Ga: 0.0000 0.1709 0.5000 [4 per cell]  3 Ga 2.53-2.57
Ga: 0.0000 0.3096 0.3039 [8 per cell]  4 Ga 2.57-2.82, 1 Ag 2.66
Ag: 0.0000 0.5000 0.1158 [4 per cell]  6 Ga 2.66-2.86, 1 Ag 2.78


A relaxed structure of SrGaAg. Source: Alexandria via LeMat-Bulk, functional GGA-PBE.

Results
Its formation energy is 324 meV per atom.

Cell: 3.4426 3.4426 15.6593 Å, 90.00 90.00 90.00°
Closest atoms and distances in Å follow each position.
Space group I4mm (No. 107)
Asymmetric unit:
Sr: 0.0000 0.0000 0.0000 [2 per cell]  1 Ag 3.17, 4 Ga 3.23, 4 Sr 3.44
Ga: 0.0000 0.0000 0.6352 [2 per cell]  1 Ag 2.55
Ag: 0.0000 0.0000 0.7978 [2 per cell]  1 Ga 2.55


A relaxed structure of SrGa4Ag6. Source: Alexandria via LeMat-Bulk, functional GGA-PBE.

Results
Its formation energy is -158 meV per atom.

Cell: 7.5167 7.5167 4.4409 Å, 90.00 90.00 120.00°
Closest atoms and distances in Å follow each position.
Space group P-6m2 (No. 187)
Asymmetric unit:
Sr: 0.0000 0.0000 0.0000 [1 per cell]  6 Ga 3.45, 12 Ag 3.46-3.79
Ga: 0.3333 0.6667 0.0000 [1 per cell]  9 Ag 2.64-2.79
Ga: 0.4054 0.2027 0.5000 [3 per cell]  6 Ag 2.65-2.80, 2 Ga 2.95
Ag: 0.2037 0.4074 0.5000 [3 per cell]  4 Ga 2.65-2.79, 2 Ag 2.92
Ag: 0.5364 0.0728 0.0000 [3 per cell]  5 Ga 2.64-2.80, 2 Ag 2.94


A relaxed structure of SrGa6Ag2. Source: Alexandria via LeMat-Bulk, functional GGA-PBE.

Results
Its formation energy is -43 meV per atom. Its energy above the most stable polymorph in this dataset is 108 meV/atom.

Cell: 8.0621 8.0621 3.2693 Å, 90.00 90.00 120.00°
Closest atoms and distances in Å follow each position.
Space group P6/mmm (No. 191)
Asymmetric unit:
Sr: 0.0000 0.0000 0.0000 [1 per cell]  12 Ga 3.23, 2 Sr 3.27
Ga: 0.0000 0.3455 0.5000 [6 per cell]  3 Ga 2.49-2.79
Ag: 0.3333 0.6667 0.0000 [2 per cell]  12 Ga 3.10, 2 Ag 3.27


A relaxed structure of SrGa2Ag2. Source: Alexandria via LeMat-Bulk, functional GGA-PBE.

Results
Its formation energy is -321 meV per atom.

Cell: 4.7347 4.7347 10.0668 Å, 90.00 90.00 90.00°
Closest atoms and distances in Å follow each position.
Space group I4/mmm (No. 139)
Asymmetric unit:
Sr: 0.0000 0.0000 0.0000 [2 per cell]  8 Ag 3.46, 10 Ga 3.58-3.77
Ga: 0.0000 0.0000 0.3741 [4 per cell]  1 Ga 2.53, 4 Ag 2.68
Ag: 0.0000 0.5000 0.2500 [4 per cell]  4 Ga 2.68


A relaxed structure of Sr4GaAg. Source: Alexandria via LeMat-Bulk, functional GGA-PBE.

Results
Its formation energy is -223 meV per atom. Its energy above the most stable polymorph in this dataset is 0 meV/atom.

Cell: 4.0051 4.0051 14.0576 Å, 90.00 90.00 90.00°
Closest atoms and distances in Å follow each position.
Space group P4/mmm (No. 123)
Asymmetric unit:
Sr: 0.0000 0.0000 0.1299 [2 per cell]  4 Ga 3.37, 1 Sr 3.65
Sr: 0.5000 0.5000 0.3650 [2 per cell]  4 Ag 3.41, 1 Sr 3.80
Ga: 0.5000 0.5000 0.0000 [1 per cell]  8 Sr 3.37
Ag: 0.0000 0.0000 0.5000 [1 per cell]  8 Sr 3.41


A relaxed structure of Sr2GaAg2. Source: Alexandria via LeMat-Bulk, functional GGA-PBE.

Results
Its formation energy is -327 meV per atom. Its energy above the most stable polymorph in this dataset is 0 meV/atom.

Cell: 11.5318 4.7341 11.6846 Å, 90.00 117.85 90.00°
Closest atoms and distances in Å follow each position.
Space group C2/m (No. 12)
Asymmetric unit:
Sr: 0.0117 0.0000 0.3389 [4 per cell]  7 Ag 3.31-3.55, 4 Ga 3.34-3.45
Sr: 0.1948 0.0000 0.1157 [4 per cell]  6 Ag 3.33-3.51, 2 Ga 3.56
Ga: 0.2236 0.5000 0.3557 [4 per cell]  4 Ag 2.71-2.87
Ag: 0.0066 0.5000 0.8800 [4 per cell]  1 Ga 2.79, 1 Ag 2.88
Ag: 0.1516 0.5000 0.5597 [4 per cell]  3 Ga 2.71-2.87


A relaxed structure of SrGa3Ag3. Source: Alexandria via LeMat-Bulk, functional GGA-PBE.

Results
Its formation energy is -205 meV per atom. Its energy above the most stable polymorph in this dataset is 0 meV/atom.

Cell: 7.5877 4.5168 9.2143 Å, 90.00 107.81 90.00°
Closest atoms and distances in Å follow each position.
Space group P2_1/m (No. 11)
Asymmetric unit:
Sr: 0.1016 0.2500 0.3248 [2 per cell]  9 Ga 3.35-3.54, 5 Ag 3.52-3.72
Ga: 0.1008 0.2500 0.9540 [2 per cell]  5 Ag 2.59-2.85
Ga: 0.3014 0.7500 0.5976 [2 per cell]  3 Ga 2.58-2.86, 3 Ag 2.70-2.76
Ga: 0.4635 0.7500 0.3888 [2 per cell]  3 Ga 2.58-2.86, 2 Ag 2.64-2.69
Ag: 0.2630 0.7500 0.0988 [2 per cell]  4 Ga 2.64-2.72, 2 Ag 2.84
Ag: 0.2708 0.2500 0.7491 [2 per cell]  4 Ga 2.59-2.70
Ag: 0.4902 0.2500 0.0987 [2 per cell]  2 Ga 2.76-2.85, 7 Ag 2.84-2.98


A relaxed structure of Sr5Ga2Ag. Source: Alexandria via LeMat-Bulk, functional GGA-PBE.

Results
Its formation energy is -291 meV per atom.

Cell: 8.3437 8.3437 16.5254 Å, 90.00 90.00 90.00°
Closest atoms and distances in Å follow each position.
Space group I4/mcm (No. 140)
Asymmetric unit:
Sr: 0.0000 0.0000 0.0000 [4 per cell]  4 Ga 3.38
Sr: 0.1726 0.3274 0.1430 [16 per cell]  3 Ga 3.38-3.49, 2 Ag 3.56
Ga: 0.1099 0.3901 0.5000 [8 per cell]  1 Ga 2.59
Ag: 0.0000 0.0000 0.2500 [4 per cell]  8 Sr 3.56


A relaxed structure of SrGaAg. Source: Alexandria via LeMat-Bulk, functional GGA-PBE.

Results
Its formation energy is -377 meV per atom.

Cell: 10.9890 4.8497 7.9037 Å, 90.00 133.83 90.00°
Closest atoms and distances in Å follow each position.
Space group C2/m (No. 12)
Asymmetric unit:
Sr: 0.2427 0.0000 0.1951 [4 per cell]  6 Ag 3.29-3.63, 6 Ga 3.36-3.53
Ga: 0.0515 0.0000 0.3939 [4 per cell]  1 Ga 2.59, 2 Ag 2.75
Ag: 0.0671 0.5000 0.2445 [4 per cell]  3 Ga 2.75-3.02, 1 Ag 3.04


A relaxed structure of Sr5GaAg2. Source: Alexandria via LeMat-Bulk, functional GGA-PBE.

Results
Its formation energy is -272 meV per atom.

Cell: 8.4971 8.4971 15.8914 Å, 90.00 90.00 90.00°
Closest atoms and distances in Å follow each position.
Space group I4/mcm (No. 140)
Asymmetric unit:
Sr: 0.0000 0.0000 0.0000 [4 per cell]  4 Ag 3.39
Sr: 0.1719 0.3281 0.1458 [16 per cell]  3 Ag 3.41-3.42, 2 Ga 3.56, 1 Sr 3.81
Ga: 0.0000 0.0000 0.2500 [4 per cell]  10 Sr 3.56-3.97
Ag: 0.1201 0.3799 0.5000 [8 per cell]  1 Ag 2.89


A relaxed structure of Sr3Ga3Ag8. Source: Alexandria via LeMat-Bulk, functional GGA-PBE.

Results
Its formation energy is -256 meV per atom.

Cell: 16.8263 4.7695 9.5099 Å, 90.00 124.18 90.00°
Closest atoms and distances in Å follow each position.
Space group C2/m (No. 12)
Asymmetric unit:
Sr: 0.0000 0.0000 0.0000 [2 per cell]  8 Ag 3.26-3.52, 4 Ga 3.64
Sr: 0.2022 0.5000 0.6963 [4 per cell]  11 Ag 3.26-3.59, 3 Ga 3.36-3.39
Ga: 0.0000 0.0000 0.5000 [2 per cell]  8 Ag 2.67-2.97
Ga: 0.1678 0.5000 0.0152 [4 per cell]  5 Ag 2.70-2.83
Ag: 0.0045 0.5000 0.6912 [4 per cell]  3 Ga 2.74-2.97, 5 Ag 2.90-3.01
Ag: 0.1259 0.0000 0.4136 [4 per cell]  1 Ga 2.67, 2 Ag 2.86
Ag: 0.1336 0.0000 0.8492 [4 per cell]  4 Ga 2.74-2.83, 2 Ag 3.00
Ag: 0.1627 0.5000 0.2938 [4 per cell]  1 Ga 2.70, 3 Ag 2.86-2.90


A relaxed structure of SrGa2Ag2. Source: Alexandria via LeMat-Bulk, functional GGA-PBE.

Results
Its formation energy is -262 meV per atom.

Cell: 4.4397 4.4397 11.6173 Å, 90.00 90.00 90.00°
Closest atoms and distances in Å follow each position.
Space group I4/mmm (No. 139)
Asymmetric unit:
Sr: 0.0000 0.0000 0.0000 [2 per cell]  8 Ag 3.44, 8 Ga 3.66
Ga: 0.0000 0.5000 0.2500 [4 per cell]  4 Ag 2.68
Ag: 0.0000 0.0000 0.3795 [4 per cell]  4 Ga 2.68, 1 Ag 2.80


A relaxed structure of Sr2Ga3Ag. Source: Alexandria via LeMat-Bulk, functional GGA-PBE.

Results
Its formation energy is -428 meV per atom.

Cell: 4.3124 4.5107 8.0578 Å, 90.00 90.00 90.00°
Closest atoms and distances in Å follow each position.
Space group Pmm2 (No. 25)
Asymmetric unit:
Sr: 0.0000 0.0000 0.0000 [1 per cell]  4 Ag 3.39, 8 Ga 3.41-3.49
Sr: 0.0000 0.5000 0.4986 [1 per cell]  10 Ga 3.38-3.41, 2 Ag 3.47
Ga: 0.5000 0.0000 0.3343 [1 per cell]  3 Ga 2.62
Ga: 0.5000 0.0000 0.6598 [1 per cell]  1 Ga 2.62, 2 Ag 2.66
Ga: 0.5000 0.5000 0.1700 [1 per cell]  2 Ga 2.62, 1 Ag 2.69
Ag: 0.5000 0.5000 0.8357 [1 per cell]  3 Ga 2.66-2.69


A relaxed structure of SrGa2Ag. Source: Alexandria via LeMat-Bulk, functional GGA-PBE.

Results
Its formation energy is -175 meV per atom.

Cell: 7.0874 7.0874 7.0874 Å, 90.00 90.00 90.00°
Closest atoms and distances in Å follow each position.
Space group Fm-3m (No. 225)
Asymmetric unit:
Sr: 0.0000 0.0000 0.0000 [4 per cell]  8 Ga 3.07
Ga: 0.2500 0.2500 0.2500 [8 per cell]  4 Sr 3.07, 4 Ag 3.07
Ag: 0.0000 0.0000 0.5000 [4 per cell]  8 Ga 3.07


A relaxed structure of SrGaAg. Source: Alexandria via LeMat-Bulk, functional GGA-PBE.

Results
Its formation energy is -314 meV per atom.

Cell: 4.5164 6.2759 6.4052 Å, 71.96 89.93 68.96°
Closest atoms and distances in Å follow each position.
Space group P-1 (No. 2)
Asymmetric unit:
Sr: 0.1057 0.2888 0.3129 [2 per cell]  5 Ag 3.29-3.47, 4 Ga 3.42-3.57
Ga: 0.2317 0.0362 0.8771 [2 per cell]  2 Ga 2.70-2.71, 3 Ag 2.75-2.76
Ag: 0.3993 0.7017 0.2986 [2 per cell]  3 Ga 2.75-2.76, 1 Ag 2.86


A relaxed structure of SrGa12Ag6. Source: Alexandria via LeMat-Bulk, functional GGA-PBE.

Results
Its formation energy is -58 meV per atom.

Cell: 11.7577 11.7577 9.4899 Å, 90.00 90.00 120.00°
Closest atoms and distances in Å follow each position.
Space group R-3m (No. 166, hexagonal axes)
Asymmetric unit:
Sr: 0.0000 0.0000 0.0000 [3 per cell]  6 Ga 3.31
Ga: 0.0000 0.3933 0.5000 [18 per cell]  1 Ga 2.51, 2 Ag 2.64
Ga: 0.0810 0.1621 0.3020 [18 per cell]  4 Ag 2.74-2.93, 4 Ga 2.86-2.88
Ag: 0.0513 0.5256 0.2271 [18 per cell]  8 Ga 2.64-2.93


A relaxed structure of Sr2Ga3Ag5. Source: Alexandria via LeMat-Bulk, functional GGA-PBE.

Results
Its formation energy is -266 meV per atom.

Cell: 4.3862 4.3862 11.8499 Å, 90.00 90.00 90.00°
Closest atoms and distances in Å follow each position.
Space group P-4m2 (No. 115)
Asymmetric unit:
Sr: 0.0000 0.5000 0.2429 [2 per cell]  6 Ag 3.35-3.62, 6 Ga 3.38-3.62
Ga: 0.0000 0.0000 0.0000 [1 per cell]  4 Ga 2.67
Ga: 0.0000 0.5000 0.8710 [2 per cell]  3 Ag 2.61-2.67, 2 Ga 2.67
Ag: 0.0000 0.0000 0.5000 [1 per cell]  8 Ag 2.83-3.10
Ag: 0.0000 0.5000 0.6508 [2 per cell]  1 Ga 2.61, 4 Ag 2.83
Ag: 0.5000 0.5000 0.0000 [1 per cell]  4 Ga 2.67
Ag: 0.5000 0.5000 0.5000 [1 per cell]  8 Ag 2.83-3.10


A relaxed structure of Sr2GaAg3. Source: Alexandria via LeMat-Bulk, functional GGA-PBE.

Results
Its formation energy is -323 meV per atom. Its energy above the most stable polymorph in this dataset is 0 meV/atom.

Cell: 4.1531 4.7219 8.2364 Å, 90.00 90.00 90.00°
Closest atoms and distances in Å follow each position.
Space group Pmm2 (No. 25)
Asymmetric unit:
Sr: 0.0000 0.0000 0.0000 [1 per cell]  8 Ag 3.37-3.45, 4 Ga 3.47
Sr: 0.0000 0.5000 0.4936 [1 per cell]  10 Ag 3.41-3.53, 2 Ga 3.41
Ga: 0.5000 0.5000 0.8221 [1 per cell]  3 Ag 2.65-2.68
Ag: 0.5000 0.0000 0.3344 [1 per cell]  3 Ag 2.82
Ag: 0.5000 0.0000 0.6769 [1 per cell]  2 Ga 2.65, 1 Ag 2.82
Ag: 0.5000 0.5000 0.1474 [1 per cell]  1 Ga 2.68, 2 Ag 2.82


Number 1: total moment 0.0 μB/f.u.. Number 2: total moment 0.0 μB/f.u.. Number 3: total moment 0.0 μB/f.u.. Number 4: total moment 0.0 μB/f.u.. Number 5: total moment 0.0 μB/f.u.. Number 6: total moment 0.0 μB/f.u.. Number 7: total moment 0.0 μB/f.u.. Number 8: total moment 0.0 μB/f.u.. Number 9: total moment 0.0 μB/f.u.. Number 10: total moment 0.0 μB/f.u.. Number 11: total moment 0.0 μB/f.u.. Number 12: total moment 0.0 μB/f.u.. Number 13: total moment 0.0 μB/f.u.. Number 14: total moment 0.0 μB/f.u.. Number 15: total moment 0.0 μB/f.u.. Number 16: total moment 0.0 μB/f.u.. Number 17: total moment 0.0 μB/f.u.. Number 18: total moment 0.0 μB/f.u.. Number 19: total moment 0.0 μB/f.u.. Number 20: total moment 0.0 μB/f.u.. Number 21: total moment 0.0 μB/f.u.. Number 22: total moment 0.0 μB/f.u.. Number 23: total moment 0.0 μB/f.u..